#1
BiBr2Cl after structural relaxation. Source: Alexandria, functional PBE-GGA.

As for the crystal system: trigonal. The total magnetization is 0.277 μB per atom.

Cell: 3.7267 3.7267 30.5472 Å, 90.00 90.00 120.00°
Closest atoms and distances in Å follow each position.
Space group R-3m (No. 166, hexagonal axes)
Asymmetric unit:
Bi (0.0000, 0.0000, 0.0000) x3  2 Br 2.73
Br (0.0000, 0.0000, 0.0894) x6  1 Bi 2.73
Cl (0.0000, 0.0000, 0.5000) x3  6 Br 3.19



#2
BiBr2Cl after structural relaxation. Source: Alexandria, functional PBE-GGA.

As for the crystal system: tetragonal. The total magnetization is 0.000 μB per atom.

Cell: 10.3136 10.3136 5.4823 Å, 90.00 90.00 90.00°
Closest atoms and distances in Å follow each position.
Space group I-42d (No. 122)
Asymmetric unit:
Bi (0.0000, 0.0000, 0.0000) x4  2 Cl 2.74, 4 Br 2.92
Br (0.1140, 0.2500, 0.1250) x8  2 Bi 2.92
Cl (0.0000, 0.0000, 0.5000) x4  2 Bi 2.74



#3
BiBr2Cl after structural relaxation. Source: Alexandria, functional PBE-GGA.

As for the crystal system: monoclinic. The total magnetization is 0.000 μB per atom.

Cell: 15.5108 4.1869 5.4547 Å, 90.00 91.12 90.00°
Closest atoms and distances in Å follow each position.
Space group C2 (No. 5)
Asymmetric unit:
Bi (0.0000, 0.0000, 0.0000) x2  2 Cl 2.73, 4 Br 2.90-2.91
Br (0.1295, 0.4987, 0.0069) x4  2 Bi 2.90-2.91
Cl (0.0000, 0.9945, 0.5000) x2  2 Bi 2.73



Least stable structure: #1



#1
BiBrCl3 after structural relaxation. Source: Alexandria, functional PBE-GGA.

As for the crystal system: triclinic. The total magnetization is 0.000 μB per atom.

Cell: 5.5248 7.4482 8.9170 Å, 89.87 80.21 89.95°
Closest atoms and distances in Å follow each position.
Space group P1 (No. 1)
Asymmetric unit:
Bi (0.0000, 0.0000, 0.0000) x1  3 Cl 2.47-2.71
Bi (0.5000, 0.0208, 0.5000) x1  3 Cl 2.47-2.71
Br (0.0420, 0.7535, 0.7187) x1  2 Cl 2.75-2.78
Br (0.5417, 0.2674, 0.2177) x1  2 Cl 2.75-2.78
Cl (0.0492, 0.2663, 0.1992) x1  1 Bi 2.71, 2 Br 2.75-2.78
Cl (0.2787, 0.2018, 0.8145) x1  1 Bi 2.55
Cl (0.3382, 0.8247, 0.0783) x1  1 Bi 2.47
Cl (0.5495, 0.7545, 0.7001) x1  1 Bi 2.71, 2 Br 2.75-2.78
Cl (0.7789, 0.8190, 0.3151) x1  1 Bi 2.55
Cl (0.8381, 0.1959, 0.5776) x1  1 Bi 2.47



#2
BiBrCl3 after structural relaxation. Source: Alexandria, functional PBE-GGA.

As for the crystal system: cubic. The total magnetization is 0.365 μB per atom.

Cell: 5.3378 5.3378 5.3378 Å, 90.00 90.00 90.00°
Closest atoms and distances in Å follow each position.
Space group Pm-3m (No. 221)
Asymmetric unit:
Bi (0.0000, 0.0000, 0.0000) x1  12 Cl 3.77
Br (0.5000, 0.5000, 0.5000) x1  6 Cl 2.67
Cl (0.0000, 0.5000, 0.5000) x3  2 Br 2.67



Least stable structure: #2



#1
Bi2BrCl after structural relaxation. Source: Alexandria, functional PBE-GGA.

As for the crystal system: tetragonal. The total magnetization is 0.000 μB per atom.

Cell: 8.5168 8.5168 6.7078 Å, 90.00 90.00 90.00°
Closest atoms and distances in Å follow each position.
Space group I-42d (No. 122)
Asymmetric unit:
Bi (0.2441, 0.2500, 0.1250) x8  2 Cl 3.09, 2 Br 3.16, 2 Bi 3.36
Br (0.0000, 0.0000, 0.5000) x4  4 Bi 3.16, 2 Cl 3.35
Cl (0.0000, 0.0000, 0.0000) x4  4 Bi 3.09, 2 Br 3.35



#2
Bi2BrCl after structural relaxation. Source: Alexandria, functional PBE-GGA.

As for the crystal system: cubic. The total magnetization is 0.000 μB per atom.

Cell: 7.6147 7.6147 7.6147 Å, 90.00 90.00 90.00°
Closest atoms and distances in Å follow each position.
Space group Fm-3m (No. 225)
Asymmetric unit:
Bi (0.2500, 0.2500, 0.2500) x8  4 Cl 3.30, 4 Br 3.30
Br (0.0000, 0.0000, 0.0000) x4  8 Bi 3.30
Cl (0.0000, 0.0000, 0.5000) x4  8 Bi 3.30



Least stable structure: #2



#1
BiBrCl after structural relaxation. Source: Alexandria, functional PBE-GGA.

As for the crystal system: orthorhombic. The total magnetization is 0.000 μB per atom.

Cell: 8.3115 6.6934 7.5471 Å, 90.00 90.00 90.00°
Closest atoms and distances in Å follow each position.
Space group Pnma (No. 62)
Asymmetric unit:
Bi (0.1241, 0.2500, 0.2430) x4  2 Cl 2.76, 2 Br 2.90-2.92
Br (0.1303, 0.7500, 0.0202) x4  2 Bi 2.90-2.92
Cl (0.1204, 0.7500, 0.5093) x4  2 Bi 2.76



#2
BiBrCl after structural relaxation. Source: Alexandria, functional PBE-GGA.

As for the crystal system: orthorhombic. The total magnetization is 0.000 μB per atom.

Cell: 11.8640 4.8153 8.7598 Å, 90.00 90.00 90.00°
Closest atoms and distances in Å follow each position.
Space group Pnma (No. 62)
Asymmetric unit:
Bi (0.0970, 0.2500, 0.0530) x4  1 Br 2.62, 2 Cl 2.77
Br (0.0092, 0.7500, 0.6847) x4  1 Bi 2.62
Cl (0.2068, 0.7500, 0.1019) x4  2 Bi 2.77



Least stable structure: #2



#1
BiP2BrCl after structural relaxation. Source: Alexandria, functional PBE-GGA.

As for the crystal system: tetragonal. The total magnetization is 0.680 μB per atom.

Cell: 5.5570 5.5570 5.3043 Å, 90.00 90.00 90.00°
Closest atoms and distances in Å follow each position.
Space group P4/mmm (No. 123)
Asymmetric unit:
Bi (0.0000, 0.0000, 0.0000) x1  2 Cl 2.65, 4 P 2.78
P (0.0000, 0.5000, 0.0000) x2  2 Bi 2.78
Br (0.5000, 0.5000, 0.5000) x1  8 P 3.84, 4 Cl 3.93
Cl (0.0000, 0.0000, 0.5000) x1  2 Bi 2.65



#2
BiP2BrCl after structural relaxation. Source: Alexandria, functional PBE-GGA.

As for the crystal system: tetragonal. The total magnetization is 0.000 μB per atom.

Cell: 5.0076 5.0076 4.9231 Å, 90.00 90.00 90.00°
Closest atoms and distances in Å follow each position.
Space group P4/mmm (No. 123)
Asymmetric unit:
Bi (0.0000, 0.0000, 0.0000) x1  8 P 3.51, 4 Cl 3.54
P (0.0000, 0.5000, 0.5000) x2  2 Br 2.50
Br (0.5000, 0.5000, 0.5000) x1  2 Cl 2.46, 4 P 2.50
Cl (0.5000, 0.5000, 0.0000) x1  2 Br 2.46



Least stable structure: #2



#1
BiSBrCl2 after structural relaxation. Source: Alexandria, functional PBE-GGA.

As for the crystal system: tetragonal. The total magnetization is 0.402 μB per atom.

Cell: 5.3416 5.3416 5.6584 Å, 90.00 90.00 90.00°
Closest atoms and distances in Å follow each position.
Space group P4/mmm (No. 123)
Asymmetric unit:
Bi (0.0000, 0.0000, 0.0000) x1  4 Cl 2.67, 2 S 2.83
S (0.0000, 0.0000, 0.5000) x1  2 Bi 2.83
Br (0.5000, 0.5000, 0.5000) x1  4 S 3.78, 8 Cl 3.89
Cl (0.0000, 0.5000, 0.0000) x2  2 Bi 2.67



#2
BiSBrCl2 after structural relaxation. Source: Alexandria, functional PBE-GGA.

As for the crystal system: tetragonal. The total magnetization is 0.186 μB per atom.

Cell: 5.0339 5.0339 5.4539 Å, 90.00 90.00 90.00°
Closest atoms and distances in Å follow each position.
Space group P4/mmm (No. 123)
Asymmetric unit:
Bi (0.0000, 0.0000, 0.0000) x1  4 S 3.56, 8 Cl 3.71
S (0.5000, 0.5000, 0.0000) x1  2 Br 2.73
Br (0.5000, 0.5000, 0.5000) x1  4 Cl 2.52, 2 S 2.73
Cl (0.0000, 0.5000, 0.5000) x2  2 Br 2.52



Least stable structure: #2